No. 1
VASP calculation (meta-GGA SCAN) on a PBEsol-optimized structure of La4TeRu.

## Properties
E_form (uncorrected)	373	meV per atom
mass density	8.0	g/cm³

a b c (Å): 6.1277 6.1277 6.1277
angles (deg): 60.00 60.00 60.00
With the nearest neighbours (Å) after each atom.
Atoms (fractional coordinates):
La: 0.1252 0.1252 0.1252  6 La 3.06-3.07
La: 0.1252 0.1252 0.6244  6 La 3.06-3.07
La: 0.1252 0.6244 0.1252  6 La 3.06-3.07
La: 0.6244 0.1252 0.1252  6 La 3.06-3.07
Te: 0.7500 0.7500 0.7500  12 La 3.59, 4 Ru 3.75
Ru: 0.5000 0.5000 0.5000  12 La 3.59, 4 Te 3.75

No. 2
VASP calculation (meta-GGA SCAN) on a PBEsol-optimized structure of FeTc.

## Properties
mass density	10.7	g/cm³
formation energy	0.196	eV/atom

a b c (Å): 4.8720 4.8720 3.9297
angles (deg): 90.00 90.00 149.18
With the nearest neighbours (Å) after each atom.
Atoms (fractional coordinates):
Fe: 0.0631 0.9369 0.7500  2 Fe 2.29, 7 Tc 2.51-2.55
Fe: 0.9369 0.0631 0.2500  2 Fe 2.29, 7 Tc 2.51-2.55
Tc: 0.3336 0.6664 0.7500  7 Fe 2.51-2.55, 2 Tc 2.59
Tc: 0.6664 0.3336 0.2500  7 Fe 2.51-2.55, 2 Tc 2.59

No. 3
VASP calculation (meta-GGA SCAN) on a PBEsol-optimized structure of CaPbI6.

## Properties
E_form (uncorrected)	-813	meV per atom
mass density	5.0	g/cm³

a b c (Å): 12.5073 11.6685 14.6136
angles (deg): 55.48 50.23 74.29
With the nearest neighbours (Å) after each atom.
Atoms (fractional coordinates):
Ca: 0.2624 0.7376 0.4580  6 I 3.05-3.26
Ca: 0.7080 0.7920 0.5124  6 I 3.05-3.26
Ca: 0.7376 0.2624 0.5420  6 I 3.05-3.26
Ca: 0.7920 0.7080 0.9876  6 I 3.05-3.26
Pb: 0.0065 0.6602 0.1804  5 I 3.09-3.40
Pb: 0.0696 0.0971 0.2435  5 I 3.09-3.40
Pb: 0.0971 0.0696 0.5898  5 I 3.09-3.40
Pb: 0.6602 0.0065 0.1529  5 I 3.09-3.40
I: 0.0046 0.3374 0.6873  2 I 2.90-2.93
I: 0.0602 0.3197 0.3241  1 Ca 3.08, 2 Pb 3.36-3.40
I: 0.0676 0.3796 0.0061  1 I 2.93, 1 Pb 3.16
I: 0.0987 0.7486 0.7232  2 Ca 3.08-3.13, 1 Pb 3.09
I: 0.2439 0.7033 0.1824  1 I 2.93, 1 Pb 3.16
I: 0.2794 0.5627 0.9126  2 I 2.90-2.93
I: 0.2996 0.4431 0.5073  1 I 2.90, 1 Ca 3.05
I: 0.3197 0.0602 0.2960  1 Ca 3.08, 2 Pb 3.36-3.40
I: 0.3374 0.0046 0.9706  2 I 2.90-2.93
I: 0.3796 0.0676 0.5467  1 I 2.93, 1 Pb 3.16
I: 0.4431 0.2996 0.7500  1 I 2.90, 1 Ca 3.05
I: 0.5000 0.7427 0.8069  1 I 2.90, 1 Ca 3.05
I: 0.5122 0.7418 0.4701  2 Ca 3.14-3.26, 1 Pb 3.22
I: 0.5268 0.8205 0.1513  2 Ca 3.08-3.13, 1 Pb 3.09
I: 0.5627 0.2794 0.2454  2 I 2.90-2.93
I: 0.7033 0.2439 0.8704  1 I 2.93, 1 Pb 3.16
I: 0.7418 0.5122 0.2759  2 Ca 3.14-3.26, 1 Pb 3.22
I: 0.7427 0.5000 0.9504  1 I 2.90, 1 Ca 3.05
I: 0.7486 0.0987 0.4295  2 Ca 3.08-3.13, 1 Pb 3.09
I: 0.7799 0.9741 0.7378  2 Ca 3.14-3.26, 1 Pb 3.22
I: 0.8205 0.5268 0.5014  2 Ca 3.08-3.13, 1 Pb 3.09
I: 0.9259 0.9540 0.1898  1 Ca 3.08, 2 Pb 3.36-3.40
I: 0.9540 0.9259 0.9303  1 Ca 3.08, 2 Pb 3.36-3.40
I: 0.9741 0.7799 0.5082  2 Ca 3.14-3.26, 1 Pb 3.22

No. 4
VASP calculation (meta-GGA SCAN) on a PBEsol-optimized structure of Hf2ZrBeGe.

## Properties
mass density	7.6	g/cm³
formation energy	0.641	eV/atom

a b c (Å): 4.8645 4.8645 4.9094
angles (deg): 90.00 90.00 90.00
With the nearest neighbours (Å) after each atom.
Atoms (fractional coordinates):
Hf: 0.0000 0.5000 0.0000  2 Ge 2.43
Hf: 0.5000 0.0000 0.0000  2 Ge 2.43
Zr: 0.0000 0.0000 0.5000  2 Ge 2.45
Be: 0.5000 0.5000 0.5000  4 Zr 3.44, 8 Hf 3.46
Ge: 0.0000 0.0000 0.0000  4 Hf 2.43, 2 Zr 2.45

No. 5
VASP calculation (meta-GGA SCAN) on a PBEsol-optimized structure of TaCrRe2.

## Properties
mass density	17.1	g/cm³
formation energy	0.186	eV/atom

a b c (Å): 9.0925 9.0925 9.0925
angles (deg): 17.42 17.42 17.42
With the nearest neighbours (Å) after each atom.
Atoms (fractional coordinates):
Ta: 0.0000 0.0000 0.0000  6 Ta 2.75, 6 Re 2.91
Cr: 0.5000 0.5000 0.5000  6 Re 2.58, 6 Cr 2.75
Re: 0.2425 0.2425 0.2425  3 Cr 2.58, 6 Re 2.75
Re: 0.7575 0.7575 0.7575  3 Cr 2.58, 6 Re 2.75

No. 6
VASP calculation (meta-GGA SCAN) on a PBEsol-optimized structure of Sr2AuSe.

## Properties
E_form (uncorrected)	-635	meV per atom
mass density	7.1	g/cm³

a b c (Å): 5.3001 5.3001 5.3001
angles (deg): 60.00 60.00 60.00
With the nearest neighbours (Å) after each atom.
Atoms (fractional coordinates):
Sr: 0.0000 0.0000 0.0000  4 Sr 3.25, 4 Au 3.25
Sr: 0.2500 0.2500 0.2500  4 Se 3.25, 4 Sr 3.25
Au: 0.7500 0.7500 0.7500  4 Se 3.25, 4 Sr 3.25
Se: 0.5000 0.5000 0.5000  4 Sr 3.25, 4 Au 3.25

No. 7
VASP calculation (meta-GGA SCAN) on a PBEsol-optimized structure of NiOsCl2.

## Properties
polymorph energy (0 for the lowest one)	2.84	eV/f.u.
E_form (uncorrected)	1158	meV per atom
mass density	9.7	g/cm³

a b c (Å): 4.2800 4.2800 2.9848
angles (deg): 90.00 90.00 90.00
With the nearest neighbours (Å) after each atom.
Atoms (fractional coordinates):
Ni: 0.0000 0.0000 0.0000  8 Cl 2.61
Os: 0.5000 0.5000 0.0000  8 Cl 2.61
Cl: 0.0000 0.5000 0.5000  4 Os 2.61, 4 Ni 2.61
Cl: 0.5000 0.0000 0.5000  4 Os 2.61, 4 Ni 2.61

No. 8
VASP calculation (meta-GGA SCAN) on a PBEsol-optimized structure of BaCaPb.

## Properties
mass density	5.7	g/cm³
formation energy	-0.797	eV/atom

a b c (Å): 8.8138 5.2825 9.6544
angles (deg): 90.00 90.00 90.00
With the nearest neighbours (Å) after each atom.
Atoms (fractional coordinates):
Ba: 0.0211 0.2500 0.1818  5 Pb 3.58-3.79, 3 Ca 3.84-3.92
Ba: 0.4789 0.7500 0.6818  5 Pb 3.58-3.79, 3 Ca 3.84-3.92
Ba: 0.5211 0.2500 0.3182  5 Pb 3.58-3.79, 3 Ca 3.84-3.92
Ba: 0.9789 0.7500 0.8182  5 Pb 3.58-3.79, 3 Ca 3.84-3.92
Ca: 0.1451 0.2500 0.5721  4 Pb 3.24-3.29
Ca: 0.3549 0.7500 0.0721  4 Pb 3.24-3.29
Ca: 0.6451 0.2500 0.9279  4 Pb 3.24-3.29
Ca: 0.8549 0.7500 0.4279  4 Pb 3.24-3.29
Pb: 0.2256 0.7500 0.3918  4 Ca 3.24-3.29, 1 Ba 3.58
Pb: 0.2744 0.2500 0.8918  4 Ca 3.24-3.29, 1 Ba 3.58
Pb: 0.7256 0.7500 0.1082  4 Ca 3.24-3.29, 1 Ba 3.58
Pb: 0.7744 0.2500 0.6082  4 Ca 3.24-3.29, 1 Ba 3.58

No. 9
VASP calculation (meta-GGA SCAN) on a PBEsol-optimized structure of MgCr4Ir.

## Properties
mass density	9.4	g/cm³
formation energy	0.086	eV/atom

a b c (Å): 4.7371 4.7371 4.7371
angles (deg): 60.00 60.00 60.00
With the nearest neighbours (Å) after each atom.
Atoms (fractional coordinates):
Mg: 0.0000 0.0000 0.0000  12 Cr 2.77, 4 Ir 2.90
Cr: 0.3727 0.3727 0.3727  6 Cr 2.32-2.41
Cr: 0.3727 0.3727 0.8819  6 Cr 2.32-2.41
Cr: 0.3727 0.8819 0.3727  6 Cr 2.32-2.41
Cr: 0.8819 0.3727 0.3727  6 Cr 2.32-2.41
Ir: 0.7500 0.7500 0.7500  12 Cr 2.78, 4 Mg 2.90

No. 10
VASP calculation (meta-GGA SCAN) on a PBEsol-optimized structure of CaRe4P.

## Properties
mass density	13.3	g/cm³
formation energy	0.624	eV/atom

a b c (Å): 5.2421 5.2421 5.2421
angles (deg): 60.00 60.00 60.00
With the nearest neighbours (Å) after each atom.
Atoms (fractional coordinates):
Ca: 0.0000 0.0000 0.0000  12 Re 3.08, 4 P 3.21
Re: 0.1272 0.6243 0.6243  6 Re 2.61-2.64
Re: 0.6243 0.1272 0.6243  6 Re 2.61-2.64
Re: 0.6243 0.6243 0.1272  6 Re 2.61-2.64
Re: 0.6243 0.6243 0.6243  6 Re 2.61-2.64
P: 0.2500 0.2500 0.2500  12 Re 3.07, 4 Ca 3.21

No. 11
VASP calculation (meta-GGA SCAN) on a PBEsol-optimized structure of Na3CrH14C6O16.

## Properties
mass density	1.9	g/cm³
VASP energy	-7.22	eV/atom

a b c (Å): 6.3810 7.5587 8.5812
angles (deg): 78.67 83.92 78.82
With the nearest neighbours (Å) after each atom.
Atoms (fractional coordinates):
Na: 0.0000 0.0000 0.0000  4 O 2.35-2.40
Na: 0.2913 0.0486 0.6325  6 O 2.33-2.55
Na: 0.7087 0.9514 0.3675  6 O 2.33-2.55
Cr: 0.0000 0.5000 0.5000  6 O 1.95-1.98
H: 0.0501 0.7510 0.7474  1 O 0.99
H: 0.1150 0.0615 0.2921  1 O 1.00
H: 0.2300 0.4680 0.9169  1 C 1.12
H: 0.3013 0.4929 0.2072  1 C 1.12
H: 0.3884 0.7639 0.9327  1 O 1.00
H: 0.4043 0.6488 0.4569  1 C 1.11
H: 0.4602 0.8111 0.0864  1 O 0.99
H: 0.5398 0.1889 0.9136  1 O 0.99
H: 0.5957 0.3512 0.5431  1 C 1.11
H: 0.6116 0.2361 0.0673  1 O 1.00
H: 0.6987 0.5071 0.7928  1 C 1.12
H: 0.7700 0.5320 0.0831  1 C 1.12
H: 0.8850 0.9385 0.7079  1 O 1.00
H: 0.9499 0.2490 0.2526  1 O 0.99
C: 0.2009 0.4036 0.8166  1 H 1.12, 1 O 1.24
C: 0.2762 0.7674 0.4194  1 H 1.11
C: 0.3649 0.3692 0.2946  1 H 1.12, 1 O 1.25
C: 0.6351 0.6308 0.7054  1 H 1.12, 1 O 1.25
C: 0.7238 0.2326 0.5806  1 H 1.11
C: 0.7991 0.5964 0.1834  1 H 1.12, 1 O 1.24
O: 0.0156 0.8789 0.7664  2 H 0.99-1.00
O: 0.0884 0.7348 0.4107  1 C 1.28
O: 0.1015 0.5195 0.7054  1 C 1.29
O: 0.2654 0.2367 0.8208  1 C 1.24
O: 0.2719 0.3519 0.4370  1 C 1.29
O: 0.3222 0.9250 0.3880  1 C 1.25
O: 0.3328 0.7921 0.0402  2 H 0.99-1.00
O: 0.4771 0.7426 0.7442  1 C 1.25
O: 0.5229 0.2574 0.2558  1 C 1.25
O: 0.6672 0.2079 0.9598  2 H 0.99-1.00
O: 0.6778 0.0750 0.6120  1 C 1.25
O: 0.7281 0.6481 0.5630  1 C 1.29
O: 0.7346 0.7633 0.1792  1 C 1.24
O: 0.8985 0.4805 0.2946  1 C 1.29
O: 0.9116 0.2652 0.5893  1 C 1.28
O: 0.9844 0.1211 0.2336  2 H 0.99-1.00

No. 12
VASP calculation (meta-GGA SCAN) on a PBEsol-optimized structure of MnNi2Ru.

## Properties
mass density	9.7	g/cm³
formation energy	0.059	eV/atom

a b c (Å): 4.0519 4.0519 4.0519
angles (deg): 60.00 60.00 60.00
With the nearest neighbours (Å) after each atom.
Atoms (fractional coordinates):
Mn: 0.0000 0.0000 0.0000  8 Ni 2.48
Ni: 0.2500 0.2500 0.2500  4 Mn 2.48, 4 Ru 2.48
Ni: 0.7500 0.7500 0.7500  4 Mn 2.48, 4 Ru 2.48
Ru: 0.5000 0.5000 0.5000  8 Ni 2.48